(1)
DFT (GGA-PBEsol) results for LiZnPt2 after structural relaxation.

Summary:
* symmetry: C2/m (12)
* final energy: -4.862 eV/atom

abc: 2.7457 4.4998 4.7812
angles: 99.39 90.00 107.76
Closest atoms and distances in Å follow each position.
Element x y z (fractional)
Zn: 0.0000 0.0000 0.5000  6 Pt 2.63-2.66, 2 Zn 2.75, 4 Li 2.76
Pt: 0.2538 0.5077 0.2494  3 Li 2.60-2.67, 3 Zn 2.63-2.66, 6 Pt 2.74-2.77
Pt: 0.7462 0.4923 0.7506  3 Li 2.60-2.67, 3 Zn 2.63-2.66, 6 Pt 2.74-2.77
Li: 0.5000 0.0000 0.0000  6 Pt 2.60-2.67, 2 Li 2.75, 4 Zn 2.76

***

(2)
DFT (GGA-PBEsol) results for Na3TiIr after structural relaxation.

Summary:
* symmetry: Pm-3m (221)
* final energy: -3.007 eV/atom

abc: 5.2673 5.2673 5.2673
angles: 90.00 90.00 90.00
Closest atoms and distances in Å follow each position.
Element x y z (fractional)
Ir: 0.0000 0.0000 0.0000  6 Na 2.63
Ti: 0.5000 0.5000 0.5000  12 Na 3.72
Na: 0.5000 0.0000 0.0000  2 Ir 2.63
Na: 0.0000 0.0000 0.5000  2 Ir 2.63
Na: 0.0000 0.5000 0.0000  2 Ir 2.63

***

(3)
DFT (GGA-PBEsol) results for Ir4AuCl after structural relaxation.

Summary:
* symmetry: F-43m (216)
* final energy: -6.388 eV/atom

abc: 5.1969 5.1969 5.1969
angles: 60.00 60.00 60.00
Closest atoms and distances in Å follow each position.
Element x y z (fractional)
Ir: 0.3752 0.8744 0.3752  6 Ir 2.59-2.60
Ir: 0.3752 0.3752 0.3752  6 Ir 2.59-2.60
Ir: 0.3752 0.3752 0.8744  6 Ir 2.59-2.60
Ir: 0.8744 0.3752 0.3752  6 Ir 2.59-2.60
Cl: 0.0000 0.0000 0.0000  12 Ir 3.05, 4 Au 3.18
Au: 0.7500 0.7500 0.7500  12 Ir 3.05, 4 Cl 3.18

***

(4)
DFT (GGA-PBEsol) results for MgTlCo2Hg after structural relaxation.

Summary:
* symmetry: P4/mmm (123)
* final energy: -2.830 eV/atom

abc: 4.7951 4.7951 5.1168
angles: 90.00 90.00 90.00
Closest atoms and distances in Å follow each position.
Element x y z (fractional)
Hg: 0.5000 0.5000 0.5000  4 Mg 3.39, 8 Co 3.51
Co: 0.0000 0.5000 0.0000  2 Tl 2.40
Co: 0.5000 0.0000 0.0000  2 Tl 2.40
Mg: 0.0000 0.0000 0.5000  2 Tl 2.56
Tl: 0.0000 0.0000 0.0000  4 Co 2.40, 2 Mg 2.56

***

(5)
DFT (GGA-PBEsol) results for LaH3Pt after structural relaxation.

Summary:
* symmetry: P2/m (10)
* final energy: -5.051 eV/atom

abc: 4.2211 4.5007 6.5220
angles: 91.13 90.00 90.00
Closest atoms and distances in Å follow each position.
Element x y z (fractional)
La: 0.5000 0.5000 0.5000  8 H 2.46-2.53
La: 0.0000 0.0000 0.0000  10 H 2.56-2.61
H: 0.5000 0.7750 0.8294  1 Pt 1.68
H: 0.0000 0.7130 0.6574  1 Pt 1.67
H: 0.5000 0.2250 0.1706  1 Pt 1.68
H: 0.0000 0.2870 0.3426  1 Pt 1.67
H: 0.5000 0.2210 0.8234  1 Pt 1.69
H: 0.5000 0.7790 0.1766  1 Pt 1.69
Pt: 0.0000 0.0000 0.5000  2 H 1.67
Pt: 0.5000 0.5000 0.0000  4 H 1.68-1.69

***

(6)
DFT (GGA-PBEsol) results for InAg2Pt2 after structural relaxation.

Summary:
* symmetry: I4/mmm (139)
* final energy: -4.605 eV/atom

abc: 3.6804 3.6804 7.1816
angles: 104.85 104.85 90.00
Closest atoms and distances in Å follow each position.
Element x y z (fractional)
Ag: 0.7500 0.2500 0.5000  4 Ag 2.60, 4 Pt 2.75
Ag: 0.2500 0.7500 0.5000  4 Ag 2.60, 4 Pt 2.75
Pt: 0.4030 0.4030 0.8059  1 Pt 2.60, 4 Ag 2.75, 4 In 2.91
Pt: 0.5970 0.5970 0.1941  1 Pt 2.60, 4 Ag 2.75, 4 In 2.91
In: 0.0000 0.0000 0.0000  8 Pt 2.91

***

(7)
DFT (GGA-PBEsol) results for Ho6MnGe2S14 after structural relaxation.

Summary:
* symmetry: P3 (143)
* final energy: -6.358 eV/atom

abc: 5.6673 9.6570 9.6570
angles: 120.00 90.00 90.00
Closest atoms and distances in Å follow each position.
Element x y z (fractional)
Ho: 0.0414 0.8014 0.6907  7 S 2.67-2.91
Ho: 0.5367 0.4424 0.4676  7 S 2.69-2.93
Ho: 0.5367 0.0252 0.5576  7 S 2.69-2.93
Ho: 0.0414 0.8892 0.1986  7 S 2.67-2.91
Ho: 0.0414 0.3093 0.1108  7 S 2.67-2.91
Ho: 0.5367 0.5324 0.9748  7 S 2.69-2.93
Ge: 0.6213 0.0000 0.0000  4 S 2.18-2.23
Ge: 0.1142 0.3333 0.6667  4 S 2.18-2.23
S: 0.2782 0.1827 0.4272  1 Ge 2.23
S: 0.5114 0.4145 0.1771  1 Mn 2.55, 3 Ho 2.69-2.81
S: 0.2364 0.0000 0.0000  1 Ge 2.18
S: 0.7840 0.1498 0.2397  1 Ge 2.23
S: 0.5114 0.8230 0.2374  1 Mn 2.55, 3 Ho 2.69-2.81
S: 0.7840 0.0899 0.8502  1 Ge 2.23
S: 0.7840 0.7603 0.9101  1 Ge 2.23
S: 0.9944 0.9182 0.4871  1 Mn 2.51, 3 Ho 2.67-2.75
S: 0.2782 0.5728 0.7556  1 Ge 2.23
S: 0.9944 0.5689 0.0818  1 Mn 2.51, 3 Ho 2.67-2.75
S: 0.7301 0.3333 0.6667  1 Ge 2.18
S: 0.2782 0.2444 0.8173  1 Ge 2.23
S: 0.5114 0.7626 0.5855  1 Mn 2.55, 3 Ho 2.69-2.81
S: 0.9944 0.5129 0.4311  1 Mn 2.51, 3 Ho 2.67-2.75
Mn: 0.7583 0.6667 0.3333  6 S 2.51-2.55

***

(8)
DFT (GGA-PBEsol) results for In2Hg after structural relaxation.

Summary:
* symmetry: Pnma (62)
* final energy: -2.190 eV/atom

abc: 4.6170 6.7087 9.4898
angles: 90.00 90.00 90.00
Closest atoms and distances in Å follow each position.
Element x y z (fractional)
In: 0.7500 0.9243 0.7779  5 Hg 3.05-3.32, 7 In 3.29-3.41
In: 0.2500 0.1511 0.5676  4 Hg 3.06-3.25, 7 In 3.29-3.41
In: 0.2500 0.5757 0.2779  5 Hg 3.05-3.32, 7 In 3.29-3.41
In: 0.7500 0.8489 0.4324  4 Hg 3.06-3.25, 7 In 3.29-3.41
In: 0.2500 0.0757 0.2221  5 Hg 3.05-3.32, 7 In 3.29-3.41
In: 0.7500 0.4243 0.7221  5 Hg 3.05-3.32, 7 In 3.29-3.41
In: 0.7500 0.3489 0.0676  4 Hg 3.06-3.25, 7 In 3.29-3.41
In: 0.2500 0.6511 0.9324  4 Hg 3.06-3.25, 7 In 3.29-3.41
Hg: 0.7500 0.3305 0.3974  9 In 3.05-3.32
Hg: 0.7500 0.8305 0.1026  9 In 3.05-3.32
Hg: 0.2500 0.1695 0.8974  9 In 3.05-3.32
Hg: 0.2500 0.6695 0.6026  9 In 3.05-3.32

***

(9)
DFT (GGA-PBEsol) results for AlGeCl2 after structural relaxation.

Summary:
* symmetry: Fm-3m (225)
* final energy: -3.312 eV/atom

abc: 4.8328 4.8328 4.8328
angles: 60.00 60.00 60.00
Closest atoms and distances in Å follow each position.
Element x y z (fractional)
Al: 0.0000 0.0000 0.0000  8 Cl 2.96
Cl: 0.7500 0.7500 0.7500  4 Al 2.96, 4 Ge 2.96
Cl: 0.2500 0.2500 0.2500  4 Ge 2.96, 4 Al 2.96
Ge: 0.5000 0.5000 0.5000  8 Cl 2.96

***

(10)
DFT (GGA-PBEsol) results for KP2Os after structural relaxation.

Summary:
* symmetry: Immm (71)
* final energy: -6.049 eV/atom

abc: 2.8597 5.8904 5.8904
angles: 63.71 75.95 75.95
Closest atoms and distances in Å follow each position.
Element x y z (fractional)
K: 0.0000 0.5000 0.5000  2 K 2.86
P: 0.1895 0.8105 0.8105  2 Os 2.31
P: 0.8105 0.1895 0.1895  2 Os 2.31
Os: 0.5000 0.0000 0.0000  4 P 2.31

***

(11)
DFT (GGA-PBEsol) results for CrSiAg6O8 after structural relaxation.

Summary:
* symmetry: I4_1/amd (141)
* final energy: -5.858 eV/atom

abc: 6.8497 6.8497 10.2848
angles: 109.45 109.45 90.00
Closest atoms and distances in Å follow each position.
Element x y z (fractional)
Si: 0.5000 0.5000 0.0000  4 O 1.66
Si: 0.7500 0.2500 0.5000  4 O 1.66
Ag: 0.4170 0.8750 0.2500  2 O 2.17
Ag: 0.5176 0.0176 0.0352  4 O 2.41-2.42
Ag: 0.9824 0.4824 0.9648  4 O 2.41-2.42
Ag: 0.1250 0.5830 0.7500  2 O 2.17
Ag: 0.7324 0.7324 0.4648  4 O 2.41-2.42
Ag: 0.4170 0.3750 0.2500  2 O 2.17
Ag: 0.8330 0.8750 0.2500  2 O 2.17
Ag: 0.8330 0.3750 0.2500  2 O 2.17
Ag: 0.1250 0.1670 0.7500  2 O 2.17
Ag: 0.6250 0.1670 0.7500  2 O 2.17
Ag: 0.2676 0.2676 0.5352  4 O 2.41-2.42
Ag: 0.6250 0.5830 0.7500  2 O 2.17
O: 0.4994 0.1981 0.3961  1 Si 1.66
O: 0.1985 0.8985 0.3971  1 Cr 1.66
O: 0.8967 0.1981 0.3961  1 Si 1.66
O: 0.8019 0.5006 0.6039  1 Si 1.66
O: 0.3533 0.5519 0.1039  1 Si 1.66
O: 0.4481 0.2494 0.8961  1 Si 1.66
O: 0.4481 0.6467 0.8961  1 Si 1.66
O: 0.1015 0.8015 0.6029  1 Cr 1.66
O: 0.7506 0.5519 0.1039  1 Si 1.66
O: 0.0515 0.8515 0.1029  1 Cr 1.66
O: 0.1985 0.4986 0.3971  1 Cr 1.66
O: 0.8019 0.1033 0.6039  1 Si 1.66
O: 0.7486 0.9485 0.8971  1 Cr 1.66
O: 0.5014 0.8015 0.6029  1 Cr 1.66
O: 0.0515 0.2514 0.1029  1 Cr 1.66
O: 0.1485 0.9485 0.8971  1 Cr 1.66
Cr: 0.2500 0.7500 0.5000  4 O 1.66
Cr: 0.0000 0.0000 0.0000  4 O 1.66

***

(12)
DFT (GGA-PBEsol) results for Zr2Co after structural relaxation.

Summary:
* symmetry: P6_3/mmc (194)
* final energy: -8.643 eV/atom

abc: 4.6957 4.6957 5.4465
angles: 90.00 90.00 120.00
Closest atoms and distances in Å follow each position.
Element x y z (fractional)
Zr: 0.0000 0.0000 0.0000  8 Zr 2.72-3.03, 6 Co 3.03
Zr: 0.6667 0.3333 0.2500  5 Co 2.71-2.72, 6 Zr 3.03
Zr: 0.0000 0.0000 0.5000  8 Zr 2.72-3.03, 6 Co 3.03
Zr: 0.3333 0.6667 0.7500  5 Co 2.71-2.72, 6 Zr 3.03
Co: 0.6667 0.3333 0.7500  11 Zr 2.71-3.03
Co: 0.3333 0.6667 0.2500  11 Zr 2.71-3.03